# Nd2PbSe4

Crystalline Nd2PbSe4 at its relaxed geometry (GGA-PBE, Alexandria via LeMat-Bulk).

Unit cell a=7.846 b=7.846 c=7.846 alpha=109.41 beta=109.41 gamma=109.59
Fractional positions:
Se1 0.231 0.483 0.598
Nd1 0.625 0.742 0.617
Se2 0.883 0.635 0.902
Nd2 0.992 0.375 0.117
Pb1 0.500 0.500 0.000
Se3 0.517 0.115 0.748
Se4 0.367 0.769 0.252
Se5 0.365 0.267 0.248
Nd3 0.258 0.875 0.883
Pb2 0.750 0.250 0.500
Se6 0.019 0.117 0.752
Nd4 0.125 0.008 0.383
Se7 0.733 0.981 0.098
Se8 0.885 0.633 0.402

Output
Formation energy without anion corrections, eV/atom: -1.49
Total DFT energy (no corrections), eV/atom: -5.369
DOS at the Fermi energy, states/eV/f.u.: 0.000
Relative energy among the computed polymorphs, meV per atom: 0
Space-group type: I-42d


# Ba2In2Ni

Crystalline Ba2In2Ni at its relaxed geometry (GGA-PBE, Alexandria via LeMat-Bulk).

Unit cell a=7.311 b=7.311 c=5.814 alpha=90.00 beta=90.00 gamma=90.00
Fractional positions:
Ba1 0.829 0.329 0.500
In1 0.847 0.653 0.000
In2 0.653 0.153 0.000
Ni1 0.000 0.000 0.000
In3 0.153 0.347 0.000
Ba2 0.171 0.671 0.500
Ba3 0.329 0.171 0.500
Ba4 0.671 0.829 0.500
Ni2 0.500 0.500 0.000
In4 0.347 0.847 0.000

Output
Total DFT energy (no corrections), eV/atom: -3.042
DOS at the Fermi energy, states/eV/f.u.: 4.059
Space-group type: P4/mbm
Energy relative to the elements, eV/atom: -0.02


# Ba2AcAgO4

Crystalline Ba2AcAgO4 at its relaxed geometry (GGA-PBE, Alexandria via LeMat-Bulk).

Unit cell a=4.088 b=6.319 c=6.518 alpha=100.99 beta=90.00 gamma=90.00
Fractional positions:
Ag1 0.000 0.000 0.000
Ba1 0.500 0.000 0.500
Ba2 0.000 0.500 0.500
O1 0.000 0.253 0.796
O2 0.000 0.747 0.204
O3 0.500 0.691 0.715
O4 0.500 0.309 0.285
Ac1 0.500 0.500 0.000

Output
Formation energy without anion corrections, eV/atom: -2.16
Total DFT energy (no corrections), eV/atom: -5.990
DOS at the Fermi energy, states/eV/f.u.: 0.000
Space-group type: P2/m


# Al2SiAs

Crystalline Al2SiAs at its relaxed geometry (GGA-PBE, Alexandria via LeMat-Bulk).

Unit cell a=2.834 b=2.834 c=8.484 alpha=90.00 beta=90.00 gamma=89.99
Fractional positions:
Si1 0.500 0.500 0.781
Al1 0.000 0.000 0.998
Al2 0.500 0.500 0.234
As1 0.000 0.000 0.486

Output
Formation energy without anion corrections, eV/atom: 0.23
Total DFT energy (no corrections), eV/atom: -4.157
DOS at the Fermi energy, states/eV/f.u.: 1.139
Relative energy among the computed polymorphs, meV per atom: 234
Space-group type: P4mm